(1)
Density functional theory data (PBE+U) for a geometry-optimized NbGaCoF2 structure.

The structure in POSCAR format:
```
NbGaCoF2
1.0
3.8200 0.0000 0.0000
0.0000 5.9269 0.0000
0.0000 0.0000 3.8200
F Nb Ga Co
2 1 1 1
Cartesian
1.9100 0.0000 0.0000
0.0000 0.0000 1.9100
0.0000 2.9634 0.0000
0.0000 0.0000 0.0000
1.9100 2.9634 1.9100
```

## Properties
Crystal system   tetragonal
DFT total energy   -23.31 eV for the cell shown
Calculated volume   17.298 A^3/atom
Spin magnetization   0.5 μB per formula unit

=====

(2)
Density functional theory data (PBE+U) for a geometry-optimized GaCoO2F structure.

The structure in POSCAR format:
```
GaCoO2F
1.0
-1.3869 3.6007 -0.0169
-2.3330 -0.9124 -2.9350
-2.6649 -1.0150 2.4339
O Ga Co F
2 1 1 1
Cartesian
-0.6934 1.8004 -0.0085
-1.1665 -0.4562 -1.4675
0.0000 0.0000 0.0000
-3.1924 0.8367 -0.2590
-1.3325 -0.5075 1.2169
```

## Properties
Crystal system   tetragonal
DFT total energy   -25.63 eV for the cell shown
Calculated volume   11.164 A^3/atom
Spin magnetization   3.0 μB per formula unit